(1)
The following is a PBE calculation of a geometry-optimized AlAuSe structure, from the Alexandria database.

Structure (POSCAR):
```
AlAuSe
1.0
0.000 3.147 3.147
3.147 0.000 3.147
3.147 3.147 0.000
Al Au Se
1 1 1
Direct
0.000 0.000 0.000 Al
0.250 0.250 0.250 Au
0.750 0.750 0.750 Se
```

- DFT total energy (eV per atom) = -3.654
- volume (Å³ per cell) = 62.3
- spin magnetization (μB/f.u.) = 0.00
- energy relative to the elements, uncorrected (meV/atom) = -152

(2)
The following is a PBE calculation of a geometry-optimized NdLuTl2 structure, from the Alexandria database.

Structure (POSCAR):
```
NdLuTl2
1.0
0.000 3.824 3.824
3.824 0.000 3.824
3.824 3.824 0.000
Nd Lu Tl
1 1 2
Direct
0.000 0.000 0.000 Nd
0.500 0.500 0.500 Lu
0.250 0.250 0.250 Tl
0.750 0.750 0.750 Tl
```

- DFT total energy (eV per atom) = -3.826
- volume (Å³ per cell) = 111.9
- spin magnetization (μB/f.u.) = 0.00
- formation enthalpy at 0 K (eV per atom) = -0.3204

(3)
The following is a PBE calculation of a geometry-optimized Li4Ta structure, from the Alexandria database.

Structure (POSCAR):
```
Li4Ta
1.0
5.247 0.000 0.000
0.000 5.247 0.000
0.000 0.000 5.247
Li Ta
4 1
Direct
0.000 0.000 0.000 Li
0.000 0.500 0.500 Li
0.500 0.000 0.500 Li
0.500 0.500 0.000 Li
0.500 0.500 0.500 Ta
```

- DFT total energy (eV per atom) = -2.611
- volume (Å³ per cell) = 144.4
- spin magnetization (μB/f.u.) = 4.33
- formation enthalpy at 0 K (eV per atom) = 1.2910

(4)
The following is a PBE calculation of a geometry-optimized YAlIO2 structure, from the Alexandria database.

Structure (POSCAR):
```
YAlIO2
1.0
4.009 0.000 0.000
0.000 4.009 0.000
0.000 0.000 5.309
Y Al I O
1 1 1 2
Direct
0.000 0.000 0.000 Y
0.500 0.500 0.500 Al
0.500 0.500 0.000 I
0.000 0.500 0.500 O
0.500 0.000 0.500 O
```

- DFT total energy (eV per atom) = -5.530
- volume (Å³ per cell) = 85.3
- spin magnetization (μB/f.u.) = 0.00
- energy relative to the elements, uncorrected (meV/atom) = -1195

(5)
The following is a PBE calculation of a geometry-optimized NaCaI2 structure, from the Alexandria database.

Structure (POSCAR):
```
NaCaI2
1.0
2.200 1.270 11.563
-2.200 1.270 11.563
0.000 -2.541 11.563
Na Ca I
1 1 2
Direct
0.000 0.000 0.000 Na
0.500 0.500 0.500 Ca
0.220 0.220 0.220 I
0.780 0.780 0.780 I
```

- DFT total energy (eV per atom) = -2.714
- volume (Å³ per cell) = 193.9
- spin magnetization (μB/f.u.) = 0.00
- energy relative to the elements, uncorrected (meV/atom) = -1109

(6)
The following is a PBE calculation of a geometry-optimized Tb3TeC2 structure, from the Alexandria database.

Structure (POSCAR):
```
Tb3TeC2
1.0
5.091 -4.888 0.000
5.091 4.888 0.000
0.000 0.000 5.741
Tb Te C
6 2 4
Direct
0.097 0.903 0.750 Tb
0.164 0.398 0.750 Tb
0.398 0.164 0.250 Tb
0.602 0.836 0.750 Tb
0.836 0.602 0.250 Tb
0.903 0.097 0.250 Tb
0.346 0.654 0.250 Te
0.654 0.346 0.750 Te
0.159 0.159 0.000 C
0.159 0.159 0.500 C
0.841 0.841 0.000 C
0.841 0.841 0.500 C
```

- DFT total energy (eV per atom) = -6.086
- volume (Å³ per cell) = 285.7
- spin magnetization (μB/f.u.) = 0.00
- energy relative to the elements, uncorrected (meV/atom) = -173

(7)
The following is a PBE calculation of a geometry-optimized Ga3GeC structure, from the Alexandria database.

Structure (POSCAR):
```
Ga3GeC
1.0
4.323 0.000 0.000
0.000 4.323 0.000
0.000 0.000 4.323
Ga Ge C
3 1 1
Direct
0.000 0.000 0.500 Ga
0.000 0.500 0.000 Ga
0.500 0.000 0.000 Ga
0.500 0.500 0.500 Ge
0.000 0.000 0.000 C
```

- DFT total energy (eV per atom) = -3.911
- volume (Å³ per cell) = 80.8
- spin magnetization (μB/f.u.) = 0.00
- formation enthalpy at 0 K (eV per atom) = 0.6732

(8)
The following is a PBE calculation of a geometry-optimized Sc2ZnSb structure, from the Alexandria database.

Structure (POSCAR):
```
Sc2ZnSb
1.0
2.471 -2.506 0.000
2.471 2.506 0.000
0.000 0.000 7.151
Sc Zn Sb
2 1 1
Direct
0.000 0.000 0.000 Sc
0.500 0.500 0.285 Sc
0.500 0.500 0.782 Zn
0.000 0.000 0.553 Sb
```

- DFT total energy (eV per atom) = -4.741
- volume (Å³ per cell) = 88.5
- spin magnetization (μB/f.u.) = 0.10
- energy relative to the elements, uncorrected (meV/atom) = -226